# 1
Density functional theory data (GGA-PBE) for a relaxed structure of Ba2NaGaO4.

Unit cell a=5.0221 b=11.5730 c=20.2923 alpha=90.00 beta=90.00 gamma=90.00
Last column: nearest neighbours and their distance in Å.
Space group Fddd (No. 70, origin choice 2)
Inequivalent atoms, fractional coordinates:
Ba (0.1250, 0.1250, 0.3079) (multiplicity 16)  4 O 2.80-2.86
Na (0.1250, 0.1250, 0.1250) (multiplicity 8)  4 O 2.14
Ga (0.1250, 0.1250, 0.6250) (multiplicity 8)  4 O 1.91
O (0.0877, 0.2639, 0.8296) (multiplicity 32)  1 Ga 1.91

Properties
Formation energy from raw total energies   -1879 meV per atom
Spin magnetization   0.000 μB per formula unit

***

# 2
Density functional theory data (GGA-PBE) for a relaxed structure of Ta2RhC.

Unit cell a=6.4368 b=6.4368 c=5.6982 alpha=90.00 beta=90.00 gamma=90.00
Last column: nearest neighbours and their distance in Å.
Space group I-42d (No. 122)
Inequivalent atoms, fractional coordinates:
Ta (0.1892, 0.2500, 0.1250) (multiplicity 8)  2 C 2.14
Rh (0.0000, 0.0000, 0.5000) (multiplicity 4)  8 Ta 2.66-2.94, 2 C 2.85
C (0.0000, 0.0000, 0.0000) (multiplicity 4)  4 Ta 2.14

Properties
Spin magnetization   0.000 μB per formula unit
Energy of formation from the pure elements   0.081 eV per atom
Relative energy among the computed polymorphs   606 meV per atom

***

# 3
Density functional theory data (GGA-PBE) for a relaxed structure of GaPbIO2.

Unit cell a=4.3317 b=4.3317 c=6.7021 alpha=90.00 beta=90.00 gamma=90.00
Last column: nearest neighbours and their distance in Å.
Space group P4/mmm (No. 123)
Inequivalent atoms, fractional coordinates:
Ga (0.0000, 0.0000, 0.0000) (multiplicity 1)  4 I 3.06
Pb (0.5000, 0.5000, 0.5000) (multiplicity 1)  4 O 2.17
I (0.5000, 0.5000, 0.0000) (multiplicity 1)  4 Ga 3.06, 2 Pb 3.35
O (0.0000, 0.5000, 0.5000) (multiplicity 2)  2 Pb 2.17

Properties
Formation energy from raw total energies   -222 meV per atom
Spin magnetization   0.215 μB per formula unit
Relative energy among the computed polymorphs   125 meV per atom

***

# 4
Density functional theory data (GGA-PBE) for a relaxed structure of ErTmCuGe.

Unit cell a=6.9464 b=6.9464 c=6.9464 alpha=90.00 beta=90.00 gamma=90.00
Last column: nearest neighbours and their distance in Å.
Space group F-43m (No. 216)
Inequivalent atoms, fractional coordinates:
Er (0.0000, 0.0000, 0.0000) (multiplicity 4)  4 Ge 3.01, 4 Cu 3.01
Tm (0.0000, 0.0000, 0.5000) (multiplicity 4)  4 Ge 3.01, 4 Cu 3.01
Cu (0.2500, 0.2500, 0.7500) (multiplicity 4)  4 Er 3.01, 4 Tm 3.01
Ge (0.2500, 0.2500, 0.2500) (multiplicity 4)  4 Er 3.01, 4 Tm 3.01

Properties
Spin magnetization   0.000 μB per formula unit
Energy of formation from the pure elements   -0.496 eV per atom

***

# 5
Density functional theory data (GGA-PBE) for a relaxed structure of Rb2Zn2PbSe4.

Unit cell a=16.4455 b=4.2590 c=8.2663 alpha=90.00 beta=110.41 gamma=90.00
Last column: nearest neighbours and their distance in Å.
Space group C2/m (No. 12)
Inequivalent atoms, fractional coordinates:
Rb (0.1272, 0.0000, 0.0404) (multiplicity 4)  7 Se 3.52-3.79
Zn (0.1720, 0.5000, 0.4737) (multiplicity 4)  4 Se 2.42-2.60
Pb (0.0000, 0.0000, 0.5000) (multiplicity 2)  6 Se 3.08-3.20
Se (0.0283, 0.5000, 0.2556) (multiplicity 4)  1 Zn 2.42
Se (0.2075, 0.0000, 0.6632) (multiplicity 4)  3 Zn 2.59-2.60

Properties
Formation energy from raw total energies   -853 meV per atom
Spin magnetization   0.000 μB per formula unit

***

# 6
Density functional theory data (GGA-PBE) for a relaxed structure of Os2IF.

Unit cell a=6.2125 b=6.2125 c=6.2125 alpha=90.00 beta=90.00 gamma=90.00
Last column: nearest neighbours and their distance in Å.
Space group Fm-3m (No. 225)
Inequivalent atoms, fractional coordinates:
Os (0.2500, 0.2500, 0.2500) (multiplicity 8)  4 F 2.69, 4 I 2.69
I (0.0000, 0.0000, 0.0000) (multiplicity 4)  8 Os 2.69
F (0.0000, 0.0000, 0.5000) (multiplicity 4)  8 Os 2.69

Properties
Formation energy from raw total energies   1118 meV per atom
Spin magnetization   0.000 μB per formula unit
Relative energy among the computed polymorphs   0 meV per atom

***

# 7
Density functional theory data (GGA-PBE) for a relaxed structure of BeHgS2.

Unit cell a=6.4042 b=3.4622 c=6.8899 alpha=90.00 beta=96.08 gamma=90.00
Last column: nearest neighbours and their distance in Å.
Space group C2/m (No. 12)
Inequivalent atoms, fractional coordinates:
Be (0.0000, 0.0000, 0.0000) (multiplicity 2)  6 S 2.30-2.47
Hg (0.0000, 0.5000, 0.5000) (multiplicity 2)  2 S 2.38
S (0.1388, 0.5000, 0.8344) (multiplicity 4)  3 Be 2.30-2.47, 1 Hg 2.38

Properties
Formation energy from raw total energies   -254 meV per atom
Spin magnetization   0.000 μB per formula unit
Relative energy among the computed polymorphs   304 meV per atom

***

# 8
Density functional theory data (GGA-PBE) for a relaxed structure of Co2MoRu.

Unit cell a=2.6486 b=2.6486 c=25.7833 alpha=90.00 beta=90.00 gamma=120.00
Last column: nearest neighbours and their distance in Å.
Space group R-3m (No. 166, hexagonal axes)
Inequivalent atoms, fractional coordinates:
Co (0.0000, 0.0000, 0.2481) (multiplicity 6)  3 Ru 2.60, 6 Co 2.65, 3 Mo 2.68
Mo (0.0000, 0.0000, 0.0000) (multiplicity 3)  6 Mo 2.65, 6 Co 2.68
Ru (0.0000, 0.0000, 0.5000) (multiplicity 3)  6 Co 2.60, 6 Ru 2.65

Properties
Spin magnetization   2.607 μB per formula unit
Energy of formation from the pure elements   0.238 eV per atom
Relative energy among the computed polymorphs   229 meV per atom

***

# 9
Density functional theory data (GGA-PBE) for a relaxed structure of NaPuHg4.

Unit cell a=3.1819 b=5.1222 c=8.9999 alpha=90.00 beta=90.14 gamma=90.00
Last column: nearest neighbours and their distance in Å.
Space group P2/m (No. 10)
Inequivalent atoms, fractional coordinates:
Na (0.0000, 0.0000, 0.0000) (multiplicity 1)  2 Na 3.18, 12 Hg 3.35-3.39
Pu (0.0000, 0.5000, 0.5000) (multiplicity 1)  2 Pu 3.18, 12 Hg 3.38-3.43
Hg (0.4987, 0.0000, 0.3314) (multiplicity 2)  5 Hg 2.98-3.18
Hg (0.4991, 0.5000, 0.1621) (multiplicity 2)  5 Hg 2.92-3.18

Properties
Spin magnetization   5.990 μB per formula unit
Energy of formation from the pure elements   -0.192 eV per atom
Relative energy among the computed polymorphs   0 meV per atom

***

# 10
Density functional theory data (GGA-PBE) for a relaxed structure of BePdS.

Unit cell a=3.4169 b=8.8862 c=3.4316 alpha=90.00 beta=119.62 gamma=90.00
Last column: nearest neighbours and their distance in Å.
Space group P2_1 (No. 4)
Inequivalent atoms, fractional coordinates:
Be (0.1801, 0.0000, 0.4325) (multiplicity 2)  3 S 2.05-2.15
Pd (0.0471, 0.6878, 0.1057) (multiplicity 2)  1 Be 2.32, 2 S 2.36-2.39
S (0.1650, 0.4275, 0.2549) (multiplicity 2)  3 Be 2.05-2.15

Properties
Formation energy from raw total energies   -454 meV per atom
Spin magnetization   0.000 μB per formula unit

***

# 11
Density functional theory data (GGA-PBE) for a relaxed structure of PuPaPtS.

Unit cell a=3.7524 b=3.7524 c=22.8214 alpha=90.00 beta=90.00 gamma=120.00
Last column: nearest neighbours and their distance in Å.
Space group R3m (No. 160, hexagonal axes)
Inequivalent atoms, fractional coordinates:
Pu (0.0000, 0.0000, 0.0000) (multiplicity 3)  3 S 2.90, 3 Pt 2.93
Pa (0.0000, 0.0000, 0.8321) (multiplicity 3)  3 Pt 2.82, 3 S 2.88
Pt (0.0000, 0.0000, 0.4198) (multiplicity 3)  3 Pa 2.82, 3 Pu 2.93
S (0.0000, 0.0000, 0.5822) (multiplicity 3)  3 Pa 2.88, 3 Pu 2.90

Properties
Formation energy from raw total energies   -1036 meV per atom
Spin magnetization   5.922 μB per formula unit

***

# 12
Density functional theory data (GGA-PBE) for a relaxed structure of Dy3Ho3Sc5.

Unit cell a=9.0118 b=9.0118 c=5.3905 alpha=90.00 beta=90.00 gamma=120.00
Last column: nearest neighbours and their distance in Å.
Space group P-62m (No. 189)
Inequivalent atoms, fractional coordinates:
Dy (0.0000, 0.6052, 0.0000) (multiplicity 3)  2 Sc 3.01, 2 Ho 3.37
Ho (0.0000, 0.3805, 0.5000) (multiplicity 3)  4 Sc 2.82-3.01
Sc (0.0000, 0.7545, 0.5000) (multiplicity 3)  3 Ho 3.01-3.37, 2 Dy 3.01
Sc (0.3333, 0.6667, 0.5000) (multiplicity 2)  3 Ho 2.82

Properties
Spin magnetization   0.021 μB per formula unit
Energy of formation from the pure elements   0.821 eV per atom